(1)
Computed, not measured: an optimized crystal structure of Sc2VSbC at the GGA-PBE level of DFT.

Output
Raw formation energy, eV per atom: -0.55
Total energy, eV for the cell shown: -37.900

Unit cell a=4.566 b=4.566 c=4.041 alpha=90.00 beta=90.00 gamma=90.00
Space group P4/mmm (No. 123)
Asymmetric unit:
Sc 0.000 0.500 0.000 [2 per cell]
V 0.000 0.000 0.500 [1 per cell]
Sb 0.500 0.500 0.500 [1 per cell]
C 0.000 0.000 0.000 [1 per cell]

---

(2)
Computed, not measured: an optimized crystal structure of Y2Sc2Sb2C at the GGA-PBE level of DFT.

Output
Raw formation energy, eV per atom: -0.94
Total energy, eV for the cell shown: -99.282

Unit cell a=4.496 b=4.496 c=15.751 alpha=90.00 beta=90.00 gamma=90.00
Space group I4/mmm (No. 139)
Asymmetric unit:
Y 0.000 0.000 0.161 [4 per cell]
Sc 0.000 0.500 0.000 [4 per cell]
Sb 0.000 0.000 0.362 [4 per cell]
C 0.000 0.000 0.000 [2 per cell]

---

(3)
Computed, not measured: an optimized crystal structure of Y3ScSb2C at the GGA-PBE level of DFT.

Output
Raw formation energy, eV per atom: -0.86
Total energy, eV for the cell shown: -98.459

Unit cell a=4.516 b=4.754 c=15.858 alpha=90.00 beta=90.00 gamma=90.00
Space group Immm (No. 71)
Asymmetric unit:
Y 0.000 0.000 0.000 [2 per cell]
Y 0.000 0.500 0.160 [4 per cell]
Sc 0.000 0.000 0.500 [2 per cell]
Sb 0.000 0.500 0.359 [4 per cell]
C 0.000 0.500 0.000 [2 per cell]

---

(4)
Computed, not measured: an optimized crystal structure of Sc2ZnSbC at the GGA-PBE level of DFT.

Output
Raw formation energy, eV per atom: -0.50
Total energy, eV for the cell shown: -29.772

Unit cell a=4.627 b=4.627 c=4.076 alpha=90.00 beta=90.00 gamma=90.00
Space group P4/mmm (No. 123)
Asymmetric unit:
Sc 0.000 0.500 0.000 [2 per cell]
Zn 0.000 0.000 0.500 [1 per cell]
Sb 0.500 0.500 0.500 [1 per cell]
C 0.000 0.000 0.000 [1 per cell]

---

(5)
Computed, not measured: an optimized crystal structure of Zr2Sc2Sb2C at the GGA-PBE level of DFT.

Output
Raw formation energy, eV per atom: -0.74
Total energy, eV for the cell shown: -104.866

Unit cell a=4.478 b=4.478 c=15.012 alpha=90.00 beta=90.00 gamma=90.00
Space group I4/mmm (No. 139)
Asymmetric unit:
Zr 0.000 0.500 0.000 [4 per cell]
Sc 0.000 0.000 0.156 [4 per cell]
Sb 0.000 0.000 0.355 [4 per cell]
C 0.000 0.000 0.000 [2 per cell]

---

(6)
Computed, not measured: an optimized crystal structure of ZrSc2SbC at the GGA-PBE level of DFT.

Output
Raw formation energy, eV per atom: -0.67
Total energy, eV for the cell shown: -37.904

Unit cell a=4.520 b=4.520 c=4.579 alpha=90.00 beta=90.00 gamma=90.00
Space group P4/mmm (No. 123)
Asymmetric unit:
Zr 0.000 0.000 0.000 [1 per cell]
Sc 0.000 0.500 0.500 [2 per cell]
Sb 0.500 0.500 0.000 [1 per cell]
C 0.000 0.000 0.500 [1 per cell]

---

(7)
Computed, not measured: an optimized crystal structure of Sb3CSe at the GGA-PBE level of DFT.

Output
Raw formation energy, eV per atom: 0.98
Total energy, eV for the cell shown: -20.152
Excess energy over the best structure of this formula in the dataset, kJ/mol of formula units: 0

Unit cell a=4.823 b=4.823 c=4.823 alpha=90.00 beta=90.00 gamma=90.00
Space group Pm-3m (No. 221)
Asymmetric unit:
Sb 0.000 0.000 0.500 [3 per cell]
C 0.000 0.000 0.000 [1 per cell]
Se 0.500 0.500 0.500 [1 per cell]

---

(8)
Computed, not measured: an optimized crystal structure of Sb3CSe at the GGA-PBE level of DFT.

Output
Raw formation energy, eV per atom: 2.01
Total energy, eV for the cell shown: -15.018
Excess energy over the best structure of this formula in the dataset, kJ/mol of formula units: 495

Unit cell a=5.412 b=5.412 c=5.412 alpha=90.00 beta=90.00 gamma=90.00
Space group Pm-3m (No. 221)
Asymmetric unit:
Sb 0.000 0.000 0.500 [3 per cell]
C 0.500 0.500 0.500 [1 per cell]
Se 0.000 0.000 0.000 [1 per cell]

---

(9)
Computed, not measured: an optimized crystal structure of Si2SbCSe at the GGA-PBE level of DFT.

Output
Raw formation energy, eV per atom: 0.96
Total energy, eV for the cell shown: -22.881

Unit cell a=4.133 b=4.133 c=5.255 alpha=90.00 beta=90.00 gamma=90.00
Space group P4/mmm (No. 123)
Asymmetric unit:
Si 0.000 0.500 0.000 [2 per cell]
Sb 0.000 0.000 0.500 [1 per cell]
C 0.000 0.000 0.000 [1 per cell]
Se 0.500 0.500 0.500 [1 per cell]

---

(10)
Computed, not measured: an optimized crystal structure of TcSbCSe2 at the GGA-PBE level of DFT.

Output
Raw formation energy, eV per atom: 1.60
Total energy, eV for the cell shown: -22.701

Unit cell a=4.685 b=4.685 c=5.556 alpha=90.00 beta=90.00 gamma=90.00
Space group P4/mmm (No. 123)
Asymmetric unit:
Tc 0.000 0.000 0.000 [1 per cell]
Sb 0.000 0.000 0.500 [1 per cell]
C 0.500 0.500 0.500 [1 per cell]
Se 0.000 0.500 0.000 [2 per cell]

---

(11)
Computed, not measured: an optimized crystal structure of Sb2TeCSe at the GGA-PBE level of DFT.

Output
Raw formation energy, eV per atom: 1.97
Total energy, eV for the cell shown: -14.269
Excess energy over the best structure of this formula in the dataset, kJ/mol of formula units: 471

Unit cell a=5.475 b=5.475 c=5.408 alpha=90.00 beta=90.00 gamma=90.00
Space group P4/mmm (No. 123)
Asymmetric unit:
Sb 0.000 0.500 0.000 [2 per cell]
Te 0.000 0.000 0.500 [1 per cell]
C 0.500 0.500 0.500 [1 per cell]
Se 0.000 0.000 0.000 [1 per cell]

---

(12)
Computed, not measured: an optimized crystal structure of SbTe2CSe at the GGA-PBE level of DFT.

Output
Raw formation energy, eV per atom: 1.92
Total energy, eV for the cell shown: -13.501
Excess energy over the best structure of this formula in the dataset, kJ/mol of formula units: 484

Unit cell a=5.457 b=5.457 c=5.486 alpha=90.00 beta=90.00 gamma=90.00
Space group P4/mmm (No. 123)
Asymmetric unit:
Sb 0.000 0.000 0.000 [1 per cell]
Te 0.000 0.500 0.500 [2 per cell]
C 0.500 0.500 0.000 [1 per cell]
Se 0.000 0.000 0.500 [1 per cell]